# TaBe9Nb2 | Alexandria | PBE | relaxed
data_TaBe9Nb2
_space_group_name_H-M_alt 'P 1'
_space_group_IT_number 1
_cell_length_a 4.562
_cell_length_b 4.562
_cell_length_c 14.030
_cell_angle_alpha 90.00
_cell_angle_beta 90.00
_cell_angle_gamma 120.00
loop_
_space_group_symop_operation_xyz
'x,y,z'
loop_
_atom_site_label
_atom_site_type_symbol
_atom_site_fract_x
_atom_site_fract_y
_atom_site_fract_z
Ta1 Ta 0.333 0.667 0.750
Ta2 Ta 0.667 0.333 0.250
Be1 Be 0.000 0.000 0.000
Be2 Be 0.000 0.000 0.500
Be3 Be 0.000 0.000 0.250
Be4 Be 0.000 0.000 0.750
Be5 Be 0.333 0.667 0.250
Be6 Be 0.667 0.333 0.750
Be7 Be 0.169 0.337 0.129
Be8 Be 0.663 0.831 0.129
Be9 Be 0.169 0.831 0.129
Be10 Be 0.831 0.663 0.629
Be11 Be 0.337 0.169 0.629
Be12 Be 0.831 0.169 0.629
Be13 Be 0.337 0.169 0.871
Be14 Be 0.831 0.663 0.871
Be15 Be 0.831 0.169 0.871
Be16 Be 0.663 0.831 0.371
Be17 Be 0.169 0.337 0.371
Be18 Be 0.169 0.831 0.371
Nb1 Nb 0.333 0.667 0.540
Nb2 Nb 0.667 0.333 0.040
Nb3 Nb 0.667 0.333 0.460
Nb4 Nb 0.333 0.667 0.960
# Total magnetic moment ... 0.000 μB per cell
# ΔH_f (0 K) ... -237 meV per atom
# Offset from the most stable computed form ... 0.07 eV/f.u.